# NbInP2Cl | Alexandria | PBE | relaxed
data_NbInP2Cl
_symmetry_space_group_name_H-M 'P 1'
_symmetry_Int_Tables_number 1
_cell_length_a 5.0142
_cell_length_b 5.0142
_cell_length_c 5.0502
_cell_angle_alpha 90.00
_cell_angle_beta 90.00
_cell_angle_gamma 90.00
loop_
_symmetry_equiv_pos_as_xyz
'x,y,z'
loop_
_atom_site_label
_atom_site_type_symbol
_atom_site_fract_x
_atom_site_fract_y
_atom_site_fract_z
P1 P 0.0000 0.5000 0.0000
P2 P 0.5000 0.0000 0.0000
Nb1 Nb 0.5000 0.5000 0.5000
Cl1 Cl 0.0000 0.0000 0.5000
In1 In 0.0000 0.0000 0.0000
# - SG: P4/mmm (123)
# - Electronic total energy: -4.05 eV/atom
# - Uncorrected formation energy: 1.044 eV per atom



# Pm2PrGe | Alexandria | PBE | relaxed
data_Pm2PrGe
_symmetry_space_group_name_H-M 'P 1'
_symmetry_Int_Tables_number 1
_cell_length_a 3.7232
_cell_length_b 3.7232
_cell_length_c 11.3454
_cell_angle_alpha 80.56
_cell_angle_beta 80.56
_cell_angle_gamma 60.00
loop_
_symmetry_equiv_pos_as_xyz
'x,y,z'
loop_
_atom_site_label
_atom_site_type_symbol
_atom_site_fract_x
_atom_site_fract_y
_atom_site_fract_z
Pr1 Pr 0.0000 0.0000 0.0000
Ge1 Ge 0.5000 0.5000 0.5000
Pm1 Pm 0.1070 0.1070 0.6789
Pm2 Pm 0.8930 0.8930 0.3211
# - SG: R-3m (166)
# - Energy of formation from the pure elements: -0.07 eV/atom
# - Electronic total energy: -4.79 eV/atom



# Li4Cd2Pb3 | Alexandria | PBE | relaxed
data_Li4Cd2Pb3
_symmetry_space_group_name_H-M 'P 1'
_symmetry_Int_Tables_number 1
_cell_length_a 9.3958
_cell_length_b 10.3039
_cell_length_c 5.8802
_cell_angle_alpha 90.00
_cell_angle_beta 90.00
_cell_angle_gamma 133.61
loop_
_symmetry_equiv_pos_as_xyz
'x,y,z'
loop_
_atom_site_label
_atom_site_type_symbol
_atom_site_fract_x
_atom_site_fract_y
_atom_site_fract_z
Li1 Li 0.8814 0.1424 0.5010
Li2 Li 0.6186 0.8576 0.0010
Li3 Li 0.1186 0.8576 0.4990
Li4 Li 0.3814 0.1424 0.9990
Li5 Li 0.7509 0.5004 0.2484
Li6 Li 0.7491 0.4996 0.7484
Li7 Li 0.2491 0.4996 0.7516
Li8 Li 0.2509 0.5004 0.2516
Cd1 Cd 0.5442 0.1606 0.4972
Cd2 Cd 0.9558 0.8394 0.9972
Cd3 Cd 0.4558 0.8394 0.5028
Cd4 Cd 0.0442 0.1606 0.0028
Pb1 Pb 0.0000 0.5000 0.5000
Pb2 Pb 0.5000 0.5000 0.0000
Pb3 Pb 0.7962 0.2606 0.9994
Pb4 Pb 0.7038 0.7394 0.4994
Pb5 Pb 0.2038 0.7394 0.0006
Pb6 Pb 0.2962 0.2606 0.5006
# - SG: P2_1/c (14)
# - Energy of formation from the pure elements: -0.20 eV/atom
# - Electronic total energy: -2.49 eV/atom



# PbSCl2O | Alexandria | PBE | relaxed
data_PbSCl2O
_symmetry_space_group_name_H-M 'P 1'
_symmetry_Int_Tables_number 1
_cell_length_a 4.9439
_cell_length_b 4.9439
_cell_length_c 4.4903
_cell_angle_alpha 90.00
_cell_angle_beta 90.00
_cell_angle_gamma 90.00
loop_
_symmetry_equiv_pos_as_xyz
'x,y,z'
loop_
_atom_site_label
_atom_site_type_symbol
_atom_site_fract_x
_atom_site_fract_y
_atom_site_fract_z
Pb1 Pb 0.5000 0.5000 0.5000
S1 S 0.0000 0.0000 0.5000
O1 O 0.0000 0.0000 0.0000
Cl1 Cl 0.0000 0.5000 0.0000
Cl2 Cl 0.5000 0.0000 0.0000
# - SG: P4/mmm (123)
# - Electronic total energy: -3.13 eV/atom
# - Uncorrected formation energy: 0.165 eV per atom